{"formula": "MgCd4In2Hg", "functional": "PBE", "state": "optimized geometry", "cell": [[-4.212, 4.309, 6.041], [4.212, -4.309, 6.041], [4.212, 4.309, -6.041]], "species": ["Mg", "Mg", "Cd", "Cd", "Cd", "Cd", "Cd", "Cd", "Cd", "Cd", "In", "In", "In", "In", "Hg", "Hg"], "frac_coords": [[0.500, 0.000, 0.000], [0.500, 0.500, 0.500], [0.252, 0.245, 0.493], [0.252, 0.247, 0.005], [0.252, 0.759, 0.007], [0.259, 0.753, 0.505], [0.741, 0.247, 0.495], [0.748, 0.241, 0.993], [0.748, 0.753, 0.995], [0.748, 0.755, 0.507], [0.000, 0.000, 0.500], [0.000, 0.500, 0.000], [0.000, 0.500, 0.500], [0.500, 0.500, 0.000], [0.000, 0.000, 0.000], [0.500, 0.000, 0.500]], "sg": "Imma, No. 74", "volume_a3_per_cell": 439, "formation_energy_kj_per_mol_fu": 93}